Entry from Alexandria: crystalline MgBe3Au3 at its relaxed geometry (GGA-PBE).

space group = Pm-3n (223)
formation energy from the elements = 1.0 eV/f.u.
total DFT energy (no corrections) = -3.080 eV/atom

a = 6.3488 Å, b = 6.3488 Å, c = 6.3488 Å
α = 90.00°, β = 90.00°, γ = 90.00°
Fractional coordinates of all 14 atoms:
Au (0.5000, 0.0000, 0.2500)
Au (0.7500, 0.5000, 0.0000)
Au (0.0000, 0.7500, 0.5000)
Au (0.5000, 0.0000, 0.7500)
Au (0.0000, 0.2500, 0.5000)
Au (0.2500, 0.5000, 0.0000)
Mg (0.5000, 0.5000, 0.5000)
Mg (0.0000, 0.0000, 0.0000)
Be (0.5000, 0.2500, 0.0000)
Be (0.0000, 0.5000, 0.7500)
Be (0.7500, 0.0000, 0.5000)
Be (0.2500, 0.0000, 0.5000)
Be (0.0000, 0.5000, 0.2500)
Be (0.5000, 0.7500, 0.0000)

=====

Entry from Alexandria: crystalline AcTb6Sm6 at its relaxed geometry (GGA-PBE).

space group = P6/mmm (191)
formation energy from the elements = 3.2 eV/f.u.
total DFT energy (no corrections) = -4.387 eV/atom

a = 6.7375 Å, b = 6.7375 Å, c = 11.5592 Å
α = 90.00°, β = 90.00°, γ = 119.99°
Fractional coordinates of all 13 atoms:
Tb (0.5000, 0.0000, 0.2497)
Tb (0.0000, 0.5000, 0.7503)
Tb (0.5000, 0.5000, 0.2498)
Tb (0.0000, 0.5000, 0.2497)
Tb (0.5000, 0.0000, 0.7503)
Tb (0.5000, 0.5000, 0.7502)
Sm (0.0000, 0.0000, 0.3546)
Sm (0.0000, 0.0000, 0.6454)
Sm (0.3332, 0.6668, 0.5000)
Sm (0.6666, 0.3334, 0.0000)
Sm (0.6668, 0.3332, 0.5000)
Sm (0.3334, 0.6666, 0.0000)
Ac (0.0000, 0.0000, 0.0000)

=====

Entry from Alexandria: crystalline LiDy2BPt6 at its relaxed geometry (GGA-PBE).

space group = Pmmn (59)
formation energy from the elements = -8.3 eV/f.u.
total DFT energy (no corrections) = -6.232 eV/atom

a = 5.5943 Å, b = 7.2704 Å, c = 8.6558 Å
α = 90.00°, β = 90.00°, γ = 90.00°
Fractional coordinates of all 20 atoms:
Dy (0.0000, 0.2913, 0.2145)
Dy (0.5000, 0.7087, 0.2855)
Dy (0.0000, 0.2913, 0.7855)
Dy (0.5000, 0.7087, 0.7145)
B (0.5000, 0.1986, 0.5000)
B (0.0000, 0.8014, 0.0000)
Pt (0.7415, 0.0188, 0.0000)
Pt (0.2504, 0.5885, 0.0000)
Pt (0.7585, 0.9812, 0.5000)
Pt (0.5000, 0.1286, 0.2547)
Pt (0.7496, 0.5885, 0.0000)
Pt (0.2496, 0.4115, 0.5000)
Pt (0.0000, 0.8714, 0.7547)
Pt (0.5000, 0.1286, 0.7453)
Pt (0.7504, 0.4115, 0.5000)
Pt (0.2585, 0.0188, 0.0000)
Pt (0.0000, 0.8714, 0.2453)
Pt (0.2415, 0.9812, 0.5000)
Li (0.5000, 0.3144, 0.0000)
Li (0.0000, 0.6856, 0.5000)

=====

Entry from Alexandria: crystalline Cs2HgIrBr6 at its relaxed geometry (GGA-PBE).

space group = Pmmn (59)
total DFT energy (no corrections) = -2.946 eV/atom

a = 7.9248 Å, b = 7.9245 Å, c = 11.3149 Å
α = 90.00°, β = 90.00°, γ = 90.00°
Fractional coordinates of all 20 atoms:
Ir (0.0000, 0.7508, 0.0000)
Ir (0.5000, 0.2492, 0.5000)
Cs (0.0000, 0.2501, 0.2500)
Cs (0.5000, 0.7499, 0.2500)
Cs (0.0000, 0.2501, 0.7500)
Cs (0.5000, 0.7499, 0.7500)
Br (0.5000, 0.2487, 0.7230)
Br (0.2254, 0.5246, 0.0000)
Br (0.2262, 0.9762, 0.0000)
Br (0.7746, 0.5246, 0.0000)
Br (0.2746, 0.4754, 0.5000)
Br (0.5000, 0.2487, 0.2770)
Br (0.0000, 0.7513, 0.2230)
Br (0.0000, 0.7513, 0.7770)
Br (0.7738, 0.9762, 0.0000)
Br (0.7262, 0.0238, 0.5000)
Br (0.7254, 0.4754, 0.5000)
Br (0.2738, 0.0238, 0.5000)
Hg (0.0000, 0.7487, 0.5000)
Hg (0.5000, 0.2513, 0.0000)

=====

Entry from Alexandria: crystalline AlTlIBr2 at its relaxed geometry (GGA-PBE).

space group = P4/mmm (123)
total DFT energy (no corrections) = -2.847 eV/atom

a = 5.3250 Å, b = 5.3250 Å, c = 5.8872 Å
α = 90.00°, β = 90.00°, γ = 90.00°
Fractional coordinates of all 5 atoms:
I (0.0000, 0.0000, 0.5000)
Al (0.0000, 0.0000, 0.0000)
Tl (0.5000, 0.5000, 0.5000)
Br (0.5000, 0.0000, 0.0000)
Br (0.0000, 0.5000, 0.0000)

=====

Entry from Alexandria: crystalline VAgPb at its relaxed geometry (GGA-PBE).

space group = Amm2 (38)
formation energy from the elements = 1.6 eV/f.u.
total DFT energy (no corrections) = -4.708 eV/atom

a = 3.0289 Å, b = 3.0041 Å, c = 13.5553 Å
α = 90.00°, β = 90.00°, γ = 90.00°
Fractional coordinates of all 6 atoms:
V (0.5000, 0.5000, 0.7391)
V (0.5000, 0.0000, 0.2391)
Ag (0.0000, 0.0000, 0.8763)
Ag (0.0000, 0.5000, 0.3763)
Pb (0.0000, 0.5000, 0.0789)
Pb (0.0000, 0.0000, 0.5789)

=====

Entry from Alexandria: crystalline Ru2WBr at its relaxed geometry (GGA-PBE).

relative energy among the computed polymorphs = 182.2 kJ/mol of formula units
space group = Cmm2 (35)
total DFT energy (no corrections) = -7.387 eV/atom

a = 2.8450 Å, b = 2.8450 Å, c = 9.2323 Å
α = 90.00°, β = 90.00°, γ = 118.16°
Fractional coordinates of all 4 atoms:
Ru (0.0000, 0.0000, 0.0112)
Ru (0.5000, 0.5000, 0.2517)
W (0.0000, 0.0000, 0.4845)
Br (0.5000, 0.5000, 0.7526)

=====

Entry from Alexandria: crystalline Al2InTc2 at its relaxed geometry (GGA-PBE).

relative energy among the computed polymorphs = 1.4 kJ/mol of formula units
space group = P4/mbm (127)
formation energy from the elements = -0.5 eV/f.u.
total DFT energy (no corrections) = -6.282 eV/atom

a = 6.9581 Å, b = 6.9581 Å, c = 3.2329 Å
α = 90.00°, β = 90.00°, γ = 90.00°
Fractional coordinates of all 10 atoms:
Tc (0.3335, 0.1665, 0.5000)
Tc (0.6665, 0.8335, 0.5000)
Tc (0.8335, 0.3335, 0.5000)
Tc (0.1665, 0.6665, 0.5000)
In (0.0000, 0.0000, 0.0000)
In (0.5000, 0.5000, 0.0000)
Al (0.6282, 0.1282, 0.0000)
Al (0.8718, 0.6282, 0.0000)
Al (0.1282, 0.3718, 0.0000)
Al (0.3718, 0.8718, 0.0000)

=====

Entry from Alexandria: crystalline Dy2Y2Ho3 at its relaxed geometry (GGA-PBE).

relative energy among the computed polymorphs = 42.5 kJ/mol of formula units
space group = C2/m (12)
formation energy from the elements = 0.8 eV/f.u.
total DFT energy (no corrections) = -5.011 eV/atom

a = 3.4999 Å, b = 8.4819 Å, c = 8.8466 Å
α = 118.51°, β = 101.41°, γ = 90.00°
Fractional coordinates of all 7 atoms:
Dy (0.4342, 0.0919, 0.8685)
Dy (0.5658, 0.9081, 0.1315)
Ho (0.7884, 0.1977, 0.5768)
Ho (0.0000, 0.5000, 0.0000)
Ho (0.2116, 0.8023, 0.4232)
Y (0.8532, 0.6748, 0.7065)
Y (0.1468, 0.3252, 0.2935)

=====

Entry from Alexandria: crystalline Hf5CoPt2 at its relaxed geometry (GGA-PBE).

space group = Pbam (55)
formation energy from the elements = -5.1 eV/f.u.
total DFT energy (no corrections) = -9.255 eV/atom

a = 3.5922 Å, b = 7.7966 Å, c = 11.1140 Å
α = 90.00°, β = 90.00°, γ = 90.00°
Fractional coordinates of all 16 atoms:
Hf (0.0000, 0.3515, 0.2939)
Hf (0.5000, 0.1832, 0.0747)
Hf (0.5000, 0.8168, 0.9253)
Hf (0.0000, 0.1485, 0.7939)
Hf (0.0000, 0.0000, 0.5000)
Hf (0.0000, 0.8515, 0.2061)
Hf (0.5000, 0.6832, 0.4253)
Hf (0.0000, 0.5000, 0.0000)
Hf (0.0000, 0.6485, 0.7061)
Hf (0.5000, 0.3168, 0.5747)
Co (0.0000, 0.0000, 0.0000)
Co (0.0000, 0.5000, 0.5000)
Pt (0.5000, 0.4272, 0.8233)
Pt (0.5000, 0.5728, 0.1767)
Pt (0.5000, 0.9272, 0.6767)
Pt (0.5000, 0.0728, 0.3233)

=====

Entry from Alexandria: crystalline YCuIr2 at its relaxed geometry (GGA-PBE).

relative energy among the computed polymorphs = 56.0 kJ/mol of formula units
space group = I-4m2 (119)
formation energy from the elements = -0.6 eV/f.u.
total DFT energy (no corrections) = -7.216 eV/atom

a = 4.9918 Å, b = 4.9918 Å, c = 4.9918 Å
α = 132.24°, β = 132.28°, γ = 69.82°
Fractional coordinates of all 4 atoms:
Ir (0.2500, 0.7500, 0.5000)
Ir (0.0001, 0.0001, 0.0000)
Y (0.5000, 0.5000, 0.0000)
Cu (0.7499, 0.2499, 0.5000)

=====

Entry from Alexandria: crystalline YAl3Hg at its relaxed geometry (GGA-PBE).

relative energy among the computed polymorphs = 0.0 kJ/mol of formula units
space group = Pm-3m (221)
formation energy from the elements = 2.2 eV/f.u.
total DFT energy (no corrections) = -3.152 eV/atom

a = 5.0434 Å, b = 5.0434 Å, c = 5.0434 Å
α = 90.00°, β = 90.00°, γ = 90.00°
Fractional coordinates of all 5 atoms:
Al (0.0000, 0.5000, 0.0000)
Al (0.0000, 0.0000, 0.5000)
Al (0.5000, 0.0000, 0.0000)
Y (0.5000, 0.5000, 0.5000)
Hg (0.0000, 0.0000, 0.0000)